No. 1
LiCdTc2 | PBE-GGA | relaxed

Results
Its symmetry is R-3m, No. 166. The energy relative to the elements is 0.507 eV/atom.

The structure in POSCAR format:
```
LiCdTc2
1.0
2.7615 0.0000 0.0000
-1.3807 2.3915 0.0000
0.0000 0.0000 28.9543
Li Cd Tc
3 3 6
direct
0.0000 0.0000 0.0000 Li
0.3333 0.6667 0.6667 Li
0.6667 0.3333 0.3333 Li
0.0000 0.0000 0.5000 Cd
0.3333 0.6667 0.1667 Cd
0.6667 0.3333 0.8333 Cd
0.0000 0.0000 0.2522 Tc
0.0000 0.0000 0.7478 Tc
0.3333 0.6667 0.4144 Tc
0.3333 0.6667 0.9189 Tc
0.6667 0.3333 0.0811 Tc
0.6667 0.3333 0.5856 Tc
```

***

No. 2
OsPtSe2 | PBE-GGA | relaxed

Results
Its symmetry is R3m, No. 160. Its offset from the most stable computed form is 0.055 eV per atom. The calculation puts the formation energy from raw total energies at 5.08 kcal/mol of atoms.

The structure in POSCAR format:
```
OsPtSe2
1.0
3.3077 0.0000 0.0000
-1.6539 2.8646 0.0000
0.0000 0.0000 26.2453
Os Pt Se
3 3 6
direct
0.0000 0.0000 0.0000 Os
0.3333 0.6667 0.6667 Os
0.6667 0.3333 0.3333 Os
0.0000 0.0000 0.7491 Pt
0.3333 0.6667 0.4158 Pt
0.6667 0.3333 0.0824 Pt
0.0000 0.0000 0.2762 Se
0.0000 0.0000 0.4737 Se
0.3333 0.6667 0.1403 Se
0.3333 0.6667 0.9429 Se
0.6667 0.3333 0.6096 Se
0.6667 0.3333 0.8070 Se
```

***

No. 3
TaZn2Co | PBE-GGA | relaxed

Results
Its symmetry is I-42d, No. 122. Its offset from the most stable computed form is 0.497 eV per atom. The energy relative to the elements is 0.419 eV/atom.

The structure in POSCAR format:
```
TaZn2Co
1.0
6.9888 0.0000 0.0000
0.0000 6.9888 0.0000
0.0000 0.0000 4.9578
Ta Zn Co
4 8 4
direct
0.0000 0.0000 0.0000 Ta
0.0000 0.5000 0.2500 Ta
0.5000 0.0000 0.7500 Ta
0.5000 0.5000 0.5000 Ta
0.2148 0.2500 0.6250 Zn
0.2500 0.7148 0.8750 Zn
0.2500 0.7852 0.3750 Zn
0.2852 0.2500 0.1250 Zn
0.7148 0.7500 0.1250 Zn
0.7500 0.2148 0.3750 Zn
0.7500 0.2852 0.8750 Zn
0.7852 0.7500 0.6250 Zn
0.0000 0.0000 0.5000 Co
0.0000 0.5000 0.7500 Co
0.5000 0.0000 0.2500 Co
0.5000 0.5000 0.0000 Co
```

***

No. 4
GeTeI2N | PBE-GGA | relaxed

Results
Its symmetry is P4/mmm, No. 123. Its offset from the most stable computed form is 0.000 eV per atom. The calculation puts the formation energy from raw total energies at 15.54 kcal/mol of atoms.

The structure in POSCAR format:
```
GeTeI2N
1.0
6.0420 0.0000 0.0000
0.0000 6.0420 0.0000
0.0000 0.0000 3.5684
Ge Te I N
1 1 2 1
direct
0.0000 0.0000 0.0000 Ge
0.5000 0.5000 0.5000 Te
0.0000 0.5000 0.0000 I
0.5000 0.0000 0.0000 I
0.0000 0.0000 0.5000 N
```

***

No. 5
NaFeS2 | PBE-GGA | relaxed

Results
Its symmetry is Fm-3m, No. 225. The calculation puts the formation energy from raw total energies at 1.66 kcal/mol of atoms.

The structure in POSCAR format:
```
NaFeS2
1.0
6.1159 0.0000 0.0000
0.0000 6.1159 0.0000
0.0000 0.0000 6.1159
Na Fe S
4 4 8
direct
0.0000 0.0000 0.0000 Na
0.0000 0.5000 0.5000 Na
0.5000 0.0000 0.5000 Na
0.5000 0.5000 0.0000 Na
0.0000 0.0000 0.5000 Fe
0.0000 0.5000 0.0000 Fe
0.5000 0.0000 0.0000 Fe
0.5000 0.5000 0.5000 Fe
0.2500 0.2500 0.2500 S
0.2500 0.2500 0.7500 S
0.2500 0.7500 0.2500 S
0.2500 0.7500 0.7500 S
0.7500 0.2500 0.2500 S
0.7500 0.2500 0.7500 S
0.7500 0.7500 0.2500 S
0.7500 0.7500 0.7500 S
```

***

No. 6
ZrHgPd | PBE-GGA | relaxed

Results
Its symmetry is I4mm, No. 107. The energy relative to the elements is -0.431 eV/atom.

The structure in POSCAR format:
```
ZrHgPd
1.0
3.5766 0.0000 0.0000
0.0000 3.5766 0.0000
0.0000 0.0000 9.0433
Zr Hg Pd
2 2 2
direct
0.0000 0.0000 0.0000 Zr
0.5000 0.5000 0.5000 Zr
0.0000 0.0000 0.6748 Hg
0.5000 0.5000 0.1748 Hg
0.0000 0.0000 0.3380 Pd
0.5000 0.5000 0.8380 Pd
```

***

Calculated final energy in order - -64.593, -70.077, -79.319, -15.816, -70.993, -30.670 eV/cell